No. 1
Nd5Sc2Tl4 | PBE-GGA | optimized geometry

Values from the calculation:
Space group: Immm (71)
E_tot: -4.317 eV/atom
Energy relative to the elements: -138 meV per atom

```
11
Lattice="-1.2883 1.3078 -3.2294 -7.4945 -4.2263 1.2782 0.4575 9.9621 5.9882" Properties=species:S:1:pos:R:3 pbc="T T T"
Nd -7.1432 -0.7422 2.5490
Nd -1.1821 7.7858 1.4880
Nd -2.7578 1.7277 1.7998
Nd -0.6441 0.6539 -1.6147
Nd -5.5674 5.3159 2.2372
Sc -5.0415 -0.0484 -0.1449
Sc -3.2837 7.0920 4.1819
Tl -6.1161 2.2725 1.2236
Tl -5.2418 -2.9534 0.8951
Tl -2.2091 4.7711 2.8134
Tl -3.0835 9.9970 3.1420
```

---

No. 2
Nd3ScTl3 | PBE-GGA | optimized geometry

Values from the calculation:
Space group: P6_3/m (176)
E_tot: -4.090 eV/atom
Energy relative to the elements: -128 meV per atom

```
14
Lattice="5.3340 0.0000 0.0000 0.0000 9.4912 -0.0002 0.0000 -4.7454 8.2197" Properties=species:S:1:pos:R:3 pbc="T T T"
Nd 4.0005 3.5203 6.2947
Nd 4.0005 -2.4658 8.1208
Nd 4.0005 -1.0542 2.0237
Nd 1.3335 1.2255 1.9248
Nd 1.3335 7.2115 0.0987
Nd 1.3335 5.8000 6.1958
Sc 1.3335 4.7457 2.7398
Sc 4.0005 0.0001 5.4797
Tl 1.3335 2.1044 5.1239
Tl 1.3335 -0.7438 7.4800
Tl 1.3335 -1.3602 3.8353
Tl 4.0005 2.6414 3.0956
Tl 4.0005 5.4896 0.7395
Tl 4.0005 6.1060 4.3842
```

---

No. 3
NdSc2Tl | PBE-GGA | optimized geometry

Values from the calculation:
Space group: P2_1/m (11)
Polymorph energy (0 for the lowest one): 0 meV per atom
E_tot: -5.133 eV/atom
Energy relative to the elements: -184 meV per atom

```
8
Lattice="4.6713 0.0000 0.0000 0.0000 4.4853 -0.8866 0.0000 -0.2040 10.6630" Properties=species:S:1:pos:R:3 pbc="T T T"
Nd 1.1678 1.2779 6.3587
Nd 3.5035 3.0034 3.4176
Sc 3.5035 1.8263 9.1355
Sc 1.1678 2.4550 0.6409
Sc 1.1678 4.0457 8.5725
Sc 3.5035 0.2356 1.2038
Tl 3.5035 3.6584 6.6030
Tl 1.1678 0.6229 3.1734
```

---

No. 4
NdSc12Tl3 | PBE-GGA | optimized geometry

Values from the calculation:
Space group: P4/mmm (123)
E_tot: -5.608 eV/atom
Energy relative to the elements: -118 meV per atom

```
16
Lattice="-1.8657 4.1605 -0.0786 -4.1606 -1.8666 -0.0450 -0.2981 0.2172 18.5618" Properties=species:S:1:pos:R:3 pbc="T T T"
Nd 0.0000 0.0000 0.0000
Sc -3.0132 1.1469 -0.0618
Sc -3.0901 1.2030 4.7295
Sc -3.1622 1.2555 9.2191
Sc -3.2343 1.3080 13.7086
Sc -0.9727 2.1093 2.4427
Sc -1.0457 2.1624 6.9836
Sc -1.1182 2.2152 11.4996
Sc -1.1911 2.2684 16.0404
Sc -2.1201 -0.9043 2.4596
Sc -2.1931 -0.8511 7.0004
Sc -2.2656 -0.7983 11.5164
Sc -2.3385 -0.7452 16.0573
Tl -0.0766 0.0558 4.7711
Tl -0.1491 0.1086 9.2809
Tl -0.2215 0.1614 13.7908
```

---

No. 5
NdSc3Tl2 | PBE-GGA | optimized geometry

Values from the calculation:
Space group: C2/m (12)
Polymorph energy (0 for the lowest one): 58 meV per atom
E_tot: -4.925 eV/atom
Energy relative to the elements: -176 meV per atom

```
12
Lattice="4.7937 0.0000 0.0000 -2.3969 9.5157 0.1662 0.0000 -4.3019 6.9721" Properties=species:S:1:pos:R:3 pbc="T T T"
Nd 2.3969 3.2595 6.6459
Nd 0.0000 1.9543 0.4925
Sc 0.0000 3.5138 3.8956
Sc 2.3969 5.7051 4.0274
Sc 2.3969 -0.6949 5.4590
Sc 0.0000 5.9087 1.6794
Sc 0.0000 -0.4913 3.1109
Sc 2.3969 1.7000 3.2427
Tl 0.0000 5.8334 5.6936
Tl 2.3969 -0.6196 1.4447
Tl 2.3969 4.1308 1.5291
Tl 0.0000 1.0831 5.6092
```

---

No. 6
Nd2TmScTl2 | PBE-GGA | optimized geometry

Values from the calculation:
Space group: Pmc2_1 (26)
E_tot: -4.427 eV/atom
Energy relative to the elements: -248 meV per atom

```
12
Lattice="-0.2502 0.8924 4.9111 5.0473 -4.5623 1.0862 6.7943 7.2838 -0.9773" Properties=species:S:1:pos:R:3 pbc="T T T"
Nd 0.4922 0.5084 2.4757
Nd 2.9678 -0.1373 0.1762
Nd 9.1823 4.8381 2.1318
Nd 9.7095 2.1035 0.1125
Tm 7.9438 -1.0394 0.5936
Tm 5.9987 1.8619 -0.0327
Sc 5.3954 4.6700 1.9693
Sc 5.3874 -0.3253 2.8766
Tl 7.2593 4.8174 -0.5055
Tl 3.6528 2.2286 2.3242
Tl 5.0597 -2.5274 0.7171
Tl 7.7102 1.5917 2.6466
```

---

No. 7
NdTmScTl | PBE-GGA | optimized geometry

Values from the calculation:
Space group: F-43m (216)
Polymorph energy (0 for the lowest one): 112 meV per atom
E_tot: -4.538 eV/atom
Energy relative to the elements: -54 meV per atom

```
4
Lattice="5.4064 0.0000 0.0000 2.7032 4.6820 0.0000 2.7032 1.5607 4.4143" Properties=species:S:1:pos:R:3 pbc="T T T"
Sc 8.1095 4.6820 3.3107
Tl 2.7032 1.5607 1.1036
Tm 5.4064 3.1214 2.2071
Nd 0.0000 0.0000 0.0000
```

---

No. 8
NdTm2ScTl4 | PBE-GGA | optimized geometry

Values from the calculation:
Space group: R-3m (166)
E_tot: -3.982 eV/atom
Energy relative to the elements: -294 meV per atom

```
8
Lattice="-0.2098 5.2039 -1.0246 -4.6868 2.3619 -0.7934 -2.2450 4.1839 7.9610" Properties=species:S:1:pos:R:3 pbc="T T T"
Nd 0.0000 0.0000 0.0000
Tm -5.3534 8.8047 4.5683
Tm -1.7882 2.9450 1.5747
Sc -3.5708 5.8748 3.0715
Tl -3.7940 6.4803 6.1922
Tl -5.1319 8.2038 1.4709
Tl -2.0097 3.5459 4.6721
Tl -3.3476 5.2694 -0.0492
```

---

Question: What is the energy relative to the elements in the eighth record?
Answer: -294 meV per atom

---

Question: Look up the E_tot of the third one.
Answer: -5.133 eV/atom